No. 1
The following is a DFT calculation (PBE-GGA) of a geometry-optimized PmCoB3 structure.

Cell: 3.099 16.286 4.546 Å, 90.00 90.00 90.00°
Space group Cmcm (No. 63)
One atom of each set of equivalent atoms:
1 Pm 0.000 0.079 0.250 [4 per cell]
2 Co 0.000 0.384 0.250 [4 per cell]
3 B 0.000 0.196 0.750 [4 per cell]
4 B 0.000 0.287 0.546 [8 per cell]

Results
Formation energy from the elements: -0.014 eV/atom

No. 2
The following is a DFT calculation (PBE-GGA) of a geometry-optimized BaTmMgTl structure.

Cell: 8.059 8.059 8.059 Å, 90.00 90.00 90.00°
Space group F-43m (No. 216)
One atom of each set of equivalent atoms:
1 Ba 0.000 0.000 0.000 [4 per cell]
2 Tm 0.000 0.000 0.500 [4 per cell]
3 Mg 0.250 0.250 0.750 [4 per cell]
4 Tl 0.250 0.250 0.250 [4 per cell]

Results
Formation energy from the elements: -0.100 eV/atom

No. 3
The following is a DFT calculation (PBE-GGA) of a geometry-optimized LiTb2Cu16 structure.

Cell: 8.5448 8.5448 12.6009 Å, 90.00 90.00 120.00°
Space group R3m (No. 160, hexagonal axes)
One atom of each set of equivalent atoms:
1 Li 0.0000 0.0000 0.0000 [3 per cell]
2 Tb 0.0000 0.0000 0.4311 [3 per cell]
3 Tb 0.0000 0.0000 0.7439 [3 per cell]
4 Cu 0.0000 0.0000 0.1919 [3 per cell]
5 Cu 0.9998 0.2992 0.0941 [18 per cell]
6 Cu 0.0002 0.5001 0.9378 [9 per cell]
7 Cu 0.0030 0.5015 0.2484 [9 per cell]
8 Cu 0.1675 0.3351 0.9270 [9 per cell]

Results
Formation energy from the elements: -0.134 eV/atom

No. 4
The following is a DFT calculation (PBE-GGA) of a geometry-optimized ReWCl3 structure.

Cell: 4.976 4.976 4.976 Å, 90.00 90.00 90.00°
Space group Pm-3m (No. 221)
One atom of each set of equivalent atoms:
1 Re 0.000 0.000 0.000 [1 per cell]
2 W 0.500 0.500 0.500 [1 per cell]
3 Cl 0.000 0.500 0.500 [3 per cell]

Results
Uncorrected formation energy: 1287 meV per atom

No. 5
The following is a DFT calculation (PBE-GGA) of a geometry-optimized Y5Cd2Co2 structure.

Cell: 16.560 7.265 7.350 Å, 90.00 90.00 90.00°
Space group Cmce (No. 64)
One atom of each set of equivalent atoms:
1 Y 0.000 0.000 0.000 [4 per cell]
2 Y 0.119 0.187 0.314 [16 per cell]
3 Cd 0.226 0.000 0.000 [8 per cell]
4 Co 0.000 0.107 0.610 [8 per cell]

Results
Formation energy from the elements: -0.223 eV/atom

No. 6
The following is a DFT calculation (PBE-GGA) of a geometry-optimized Tl2RhCl structure.

Cell: 3.456 3.622 15.877 Å, 90.00 90.00 90.00°
Space group Imm2 (No. 44)
One atom of each set of equivalent atoms:
1 Tl 0.000 0.000 0.000 [2 per cell]
2 Tl 0.000 0.500 0.218 [2 per cell]
3 Rh 0.000 0.000 0.573 [2 per cell]
4 Cl 0.000 0.500 0.834 [2 per cell]

Results
Uncorrected formation energy: -141 meV per atom

No. 7
The following is a DFT calculation (PBE-GGA) of a geometry-optimized Sc4BSeS2 structure.

Cell: 5.220 5.220 10.521 Å, 90.00 90.00 90.00°
Space group I-4m2 (No. 119)
One atom of each set of equivalent atoms:
1 Sc 0.000 0.000 0.227 [4 per cell]
2 Sc 0.000 0.500 0.505 [4 per cell]
3 B 0.000 0.000 0.000 [2 per cell]
4 Se 0.000 0.500 0.250 [2 per cell]
5 S 0.000 0.000 0.500 [2 per cell]
6 S 0.000 0.500 0.750 [2 per cell]

Results
Uncorrected formation energy: -1441 meV per atom

No. 8
The following is a DFT calculation (PBE-GGA) of a geometry-optimized GaSn3 structure.

Cell: 7.474 7.474 7.474 Å, 90.00 90.00 90.00°
Space group Fm-3m (No. 225)
One atom of each set of equivalent atoms:
1 Ga 0.000 0.000 0.000 [4 per cell]
2 Sn 0.000 0.000 0.500 [4 per cell]
3 Sn 0.250 0.250 0.250 [8 per cell]

Results
Formation energy from the elements: 0.084 eV/atom

No. 9
The following is a DFT calculation (PBE-GGA) of a geometry-optimized Ti5Al2Co2Tc structure.

Cell: 10.073 10.073 3.054 Å, 90.00 90.00 90.00°
Space group P4/mbm (No. 127)
One atom of each set of equivalent atoms:
1 Ti 0.000 0.500 0.000 [2 per cell]
2 Ti 0.066 0.199 0.000 [8 per cell]
3 Al 0.175 0.675 0.500 [4 per cell]
4 Co 0.131 0.369 0.500 [4 per cell]
5 Tc 0.000 0.000 0.500 [2 per cell]

Results
Formation energy from the elements: -0.314 eV/atom

No. 10
The following is a DFT calculation (PBE-GGA) of a geometry-optimized MgTe2Pt structure.

Cell: 3.962 7.308 7.730 Å, 90.00 90.00 90.00°
Space group Cmmm (No. 65)
One atom of each set of equivalent atoms:
1 Mg 0.000 0.000 0.000 [2 per cell]
2 Te 0.000 0.500 0.273 [4 per cell]
3 Pt 0.000 0.000 0.500 [2 per cell]

Results
Uncorrected formation energy: -67 meV per atom

No. 11
The following is a DFT calculation (PBE-GGA) of a geometry-optimized LaGa2HgOs structure.

Cell: 4.898 4.898 5.329 Å, 90.00 90.00 90.00°
Space group P4/mmm (No. 123)
One atom of each set of equivalent atoms:
1 La 0.000 0.000 0.000 [1 per cell]
2 Ga 0.000 0.500 0.500 [2 per cell]
3 Hg 0.500 0.500 0.500 [1 per cell]
4 Os 0.500 0.500 0.000 [1 per cell]

Results
Formation energy from the elements: 0.751 eV/atom

No. 12
The following is a DFT calculation (PBE-GGA) of a geometry-optimized Li2YAu6 structure.

Cell: 8.966 14.658 5.097 Å, 90.00 90.76 90.00°
Space group C2/c (No. 15)
One atom of each set of equivalent atoms:
1 Li 0.250 0.087 0.000 [8 per cell]
2 Y 0.000 0.250 0.250 [4 per cell]
3 Au 0.090 0.077 0.510 [8 per cell]
4 Au 0.091 0.424 0.510 [8 per cell]
5 Au 0.168 0.250 0.758 [8 per cell]

Results
Formation energy from the elements: -0.503 eV/atom

Total magnetization across the listed records, respectively: 0.00; 0.00; 0.00; 8.48; 0.00; 0.00; 0.00; 0.00; 0.00; 0.00; 0.02; 0.00 μB/f.u..